Entry 1:
A geometry-optimized ErLuNiAu structure, computed with PBE.

Unit cell a=4.8781 b=4.8781 c=4.8781 alpha=60.00 beta=60.00 gamma=60.00
Element x y z (fractional)
Au 0.0000 0.0000 0.0000
Lu 0.7500 0.7500 0.7500
Ni 0.5000 0.5000 0.5000
Er 0.2500 0.2500 0.2500

Calculated values
Volume, A^3/atom: 20.52
E_form, eV per atom: -0.635

Entry 2:
A geometry-optimized ErLuPbAu structure, computed with PBE.

Unit cell a=5.1963 b=5.1963 c=5.1963 alpha=60.00 beta=60.00 gamma=60.00
Element x y z (fractional)
Au 0.0000 0.0000 0.0000
Er 0.7500 0.7500 0.7500
Lu 0.2500 0.2500 0.2500
Pb 0.5000 0.5000 0.5000

Calculated values
Volume, A^3/atom: 24.80
E_form, eV per atom: -0.567

Entry 3:
A geometry-optimized ErLuPdAu structure, computed with PBE.

Unit cell a=4.9546 b=4.9546 c=4.9546 alpha=60.00 beta=60.00 gamma=60.00
Element x y z (fractional)
Au 0.0000 0.0000 0.0000
Pd 0.5000 0.5000 0.5000
Er 0.7500 0.7500 0.7500
Lu 0.2500 0.2500 0.2500

Calculated values
Volume, A^3/atom: 21.50
E_form, eV per atom: -0.904

Entry 4:
A geometry-optimized ErLuRhAu structure, computed with PBE.

Unit cell a=4.9032 b=4.9032 c=4.9032 alpha=60.00 beta=60.00 gamma=60.00
Element x y z (fractional)
Lu 0.2500 0.2500 0.2500
Er 0.7500 0.7500 0.7500
Rh 0.5000 0.5000 0.5000
Au 0.0000 0.0000 0.0000

Calculated values
Volume, A^3/atom: 20.84
E_form, eV per atom: -0.889

Entry 5:
A geometry-optimized ErLuRuAu structure, computed with PBE.

Unit cell a=4.8759 b=4.8759 c=4.8759 alpha=60.00 beta=60.00 gamma=60.00
Element x y z (fractional)
Er 0.5000 0.5000 0.5000
Ru 0.7500 0.7500 0.7500
Lu 0.0000 0.0000 0.0000
Au 0.2500 0.2500 0.2500

Calculated values
Volume, A^3/atom: 20.49
E_form, eV per atom: -0.645

Entry 6:
A geometry-optimized ErLuSnAu structure, computed with PBE.

Unit cell a=5.1482 b=5.1482 c=5.1482 alpha=60.00 beta=60.00 gamma=60.00
Element x y z (fractional)
Lu 0.5000 0.5000 0.5000
Sn 0.2500 0.2500 0.2500
Er 0.0000 0.0000 0.0000
Au 0.7500 0.7500 0.7500

Calculated values
Volume, A^3/atom: 24.12
E_form, eV per atom: -0.684

Entry 7:
A geometry-optimized ErLuTlAu structure, computed with PBE.

Unit cell a=5.1675 b=5.1675 c=5.1675 alpha=60.00 beta=60.00 gamma=60.00
Element x y z (fractional)
Tl 0.5000 0.5000 0.5000
Au 0.0000 0.0000 0.0000
Er 0.7500 0.7500 0.7500
Lu 0.2500 0.2500 0.2500

Calculated values
Volume, A^3/atom: 24.39
E_form, eV per atom: -0.561

Entry 8:
A geometry-optimized ErMgAu4 structure, computed with PBE.

Unit cell a=4.3937 b=4.3929 c=7.1015 alpha=89.97 beta=89.95 gamma=89.77
Element x y z (fractional)
Au 0.0010 0.4963 0.7260
Au 0.0003 0.4966 0.2701
Au 0.5016 0.9984 0.7259
Au 0.5022 0.9981 0.2703
Mg 0.0023 0.9958 0.4984
Er 0.5004 0.4986 0.9981

Calculated values
Volume, A^3/atom: 22.84
E_form, eV per atom: -0.450
E above lowest polymorph, meV per atom: 211

Entry 9:
A geometry-optimized ErMg3Au4 structure, computed with PBE.

Unit cell a=4.7950 b=6.7604 c=9.5861 alpha=90.00 beta=90.00 gamma=90.00
Element x y z (fractional)
Au 0.5000 0.2382 0.5000
Au 0.5000 0.2382 0.0000
Au 0.9999 0.7618 0.7500
Au 0.5000 0.7618 0.0000
Au 0.5000 0.7618 0.5000
Au 0.0001 0.7618 0.2500
Au 0.0001 0.2382 0.2500
Au 0.9999 0.2382 0.7500
Er 0.0000 0.5000 0.5000
Er 0.0000 0.5000 0.0000
Mg 0.5000 0.0000 0.7500
Mg 0.5000 0.0000 0.2500
Mg 0.0000 0.0000 0.0000
Mg 0.4999 0.5000 0.2500
Mg 0.5001 0.5000 0.7500
Mg 0.0000 0.0000 0.5000

Calculated values
Volume, A^3/atom: 19.42
E_form, eV per atom: -0.679

Entry 10:
A geometry-optimized Er2Mg3Au4 structure, computed with PBE.

Unit cell a=4.7204 b=4.7503 c=9.7000 alpha=89.51 beta=89.98 gamma=60.20
Element x y z (fractional)
Mg 0.3356 0.3286 0.4216
Mg 0.6644 0.6714 0.5784
Mg 0.0000 0.0000 0.0000
Er 0.6679 0.6640 0.2169
Er 0.3321 0.3360 0.7831
Au 0.9965 0.0074 0.6468
Au 0.0035 0.9926 0.3532
Au 0.3345 0.3308 0.0879
Au 0.6655 0.6692 0.9121

Calculated values
Volume, A^3/atom: 20.97
E_form, eV per atom: -0.667
E above lowest polymorph, meV per atom: 0

Entry 11:
A geometry-optimized ErMg2Au4 structure, computed with PBE.

Unit cell a=4.5910 b=4.5910 c=7.7954 alpha=107.24 beta=107.24 gamma=89.64
Element x y z (fractional)
Mg 0.7433 0.7433 0.4865
Mg 0.2567 0.2567 0.5135
Au 0.8673 0.3673 0.7346
Au 0.6327 0.1327 0.2654
Au 0.1327 0.6327 0.2654
Au 0.3673 0.8673 0.7346
Er 0.0000 0.0000 0.0000

Calculated values
Volume, A^3/atom: 21.33
E_form, eV per atom: -0.551

Entry 12:
A geometry-optimized Er3Mg4Au4 structure, computed with PBE.

Unit cell a=3.8576 b=8.0905 c=9.0608 alpha=116.52 beta=102.29 gamma=90.00
Element x y z (fractional)
Mg 0.6698 0.8586 0.3396
Mg 0.3302 0.5190 0.6604
Mg 0.3302 0.1414 0.6604
Mg 0.6698 0.4810 0.3396
Er 0.0000 0.5000 0.0000
Er 0.8914 0.8914 0.7828
Er 0.1086 0.1086 0.2172
Au 0.7541 0.2541 0.5082
Au 0.5000 0.7949 0.0000
Au 0.5000 0.2051 0.0000
Au 0.2459 0.7459 0.4918

Calculated values
Volume, A^3/atom: 22.34
E_form, eV per atom: -0.644

Entry 13:
A geometry-optimized Er2MgAu structure, computed with PBE.

Unit cell a=5.1486 b=5.1486 c=5.1486 alpha=60.00 beta=60.00 gamma=60.00
Element x y z (fractional)
Mg 0.5000 0.5000 0.5000
Er 0.7500 0.7500 0.7500
Er 0.2500 0.2500 0.2500
Au 0.0000 0.0000 0.0000

Calculated values
Volume, A^3/atom: 24.13
E_form, eV per atom: -0.418
E above lowest polymorph, meV per atom: 57

Entry 14:
A geometry-optimized Er2Mg3Au4 structure, computed with PBE.

Unit cell a=5.9954 b=7.7905 c=8.6619 alpha=90.00 beta=110.25 gamma=90.00
Element x y z (fractional)
Mg 0.4751 0.2500 0.4503
Mg 0.9751 0.2500 0.4503
Mg 0.5249 0.7500 0.5497
Mg 0.0249 0.7500 0.5497
Mg 0.5000 0.5000 0.0000
Mg 0.0000 0.0000 0.0000
Au 0.1725 0.9565 0.3451
Au 0.6942 0.7500 0.8883
Au 0.3058 0.2500 0.1117
Au 0.6725 0.5435 0.3451
Au 0.3275 0.4565 0.6549
Au 0.8275 0.0435 0.6549
Au 0.8058 0.2500 0.1117
Au 0.1942 0.7500 0.8883
Er 0.8990 0.4036 0.7980
Er 0.3990 0.0964 0.7980
Er 0.1010 0.5964 0.2020
Er 0.6010 0.9036 0.2020

Calculated values
Volume, A^3/atom: 21.09
E_form, eV per atom: -0.638
E above lowest polymorph, meV per atom: 29

Entry 15:
A geometry-optimized ErMgAu2 structure, computed with PBE.

Unit cell a=4.8809 b=4.8809 c=4.8809 alpha=60.00 beta=60.00 gamma=60.00
Element x y z (fractional)
Au 0.0000 0.0000 0.0000
Au 0.5000 0.5000 0.5000
Mg 0.7500 0.7500 0.7500
Er 0.2500 0.2500 0.2500

Calculated values
Volume, A^3/atom: 20.55
E_form, eV per atom: -0.791

Entry 16:
A geometry-optimized Er5MgAu4 structure, computed with PBE.

Unit cell a=3.5913 b=3.5913 c=18.1619 alpha=90.00 beta=90.00 gamma=90.00
Element x y z (fractional)
Au 0.0000 0.0000 0.5982
Au 0.0000 0.0000 0.4018
Au 0.0000 0.0000 0.7978
Au 0.0000 0.0000 0.2022
Er 0.5000 0.5000 0.5000
Er 0.5000 0.5000 0.3047
Er 0.5000 0.5000 0.1113
Er 0.5000 0.5000 0.8887
Er 0.5000 0.5000 0.6953
Mg 0.0000 0.0000 0.0000

Calculated values
Volume, A^3/atom: 23.42
E_form, eV per atom: -0.718

Entry 17:
A geometry-optimized ErMg4Au5 structure, computed with PBE.

Unit cell a=3.3949 b=3.3949 c=16.5029 alpha=90.00 beta=90.00 gamma=90.00
Element x y z (fractional)
Mg 0.0000 0.0000 0.2115
Mg 0.0000 0.0000 0.4043
Mg 0.0000 0.0000 0.5957
Mg 0.0000 0.0000 0.7885
Au 0.5000 0.5000 0.6922
Au 0.5000 0.5000 0.1135
Au 0.5000 0.5000 0.3078
Au 0.5000 0.5000 0.8865
Au 0.5000 0.5000 0.5000
Er 0.0000 0.0000 0.0000

Calculated values
Volume, A^3/atom: 19.02
E_form, eV per atom: -0.662

Entry 18:
A geometry-optimized ErMgAu4 structure, computed with PBE.

Unit cell a=5.5654 b=5.5654 c=5.5654 alpha=60.00 beta=60.00 gamma=60.00
Element x y z (fractional)
Au 0.6247 0.1259 0.6247
Au 0.1259 0.6247 0.6247
Au 0.6247 0.6247 0.6247
Au 0.6247 0.6247 0.1259
Er 0.0000 0.0000 0.0000
Mg 0.2500 0.2500 0.2500

Calculated values
Volume, A^3/atom: 20.32
E_form, eV per atom: -0.471
E above lowest polymorph, meV per atom: 190

Entry 19:
A geometry-optimized Er3MgAu2 structure, computed with PBE.

Unit cell a=3.6252 b=3.6252 c=10.9260 alpha=90.00 beta=90.00 gamma=90.00
Element x y z (fractional)
Er 0.0000 0.0000 0.6820
Er 0.0000 0.0000 0.3180
Er 0.0000 0.0000 0.0000
Mg 0.5000 0.5000 0.5000
Au 0.5000 0.5000 0.8312
Au 0.5000 0.5000 0.1688

Calculated values
Volume, A^3/atom: 23.93
E_form, eV per atom: -0.609

Entry 20:
A geometry-optimized ErMgAu4 structure, computed with PBE.

Unit cell a=3.6522 b=5.1394 c=7.2772 alpha=101.08 beta=75.47 gamma=69.19
Element x y z (fractional)
Au 0.8215 0.5170 0.8400
Au 0.1785 0.4830 0.1600
Au 0.3443 0.9920 0.3195
Au 0.6557 0.0080 0.6805
Er 0.5000 0.5000 0.5000
Mg 0.0000 0.0000 0.0000

Calculated values
Volume, A^3/atom: 19.58
E_form, eV per atom: -0.661
E above lowest polymorph, meV per atom: 0